1.
Below is ZnSn2POs after structural relaxation, with properties calculated at the PBE level.

a = 5.308 Å, b = 4.364 Å, c = 5.308 Å
α = 90.00°, β = 90.00°, γ = 90.00°
Fractional coordinates of all 5 atoms:
P 0.000 0.000 0.000
Os 0.000 0.500 0.000
Zn 0.500 0.500 0.500
Sn 0.500 0.000 0.000
Sn 0.000 0.000 0.500

Properties
E_form	76.9	kJ per mole of atoms

***

2.
Below is ZrSnP2Os after structural relaxation, with properties calculated at the PBE level.

a = 4.863 Å, b = 4.860 Å, c = 4.863 Å
α = 90.00°, β = 90.00°, γ = 90.00°
Fractional coordinates of all 5 atoms:
P 0.000 0.000 0.500
P 0.500 0.000 0.000
Sn 0.000 0.000 0.000
Zr 0.500 0.500 0.500
Os 0.000 0.500 0.000

Properties
E_form	137.8	kJ per mole of atoms

***

The spin magnetization results, record by record, are as follows: 0.00 0.00 μB per cell.
The raw total energy results, record by record, are as follows: -21.93 -27.46 eV/cell.